The following is a DFT calculation (PBE) of a geometry-optimized La2SnP structure.

```
La2SnP
1.0
2.261 -12.188 0.000
2.261 12.188 0.000
0.000 0.000 4.367
La Sn P
4 2 2
Cartesian
2.261 10.430 3.276
2.261 4.655 3.276
2.261 -4.655 1.092
2.261 -10.430 1.092
2.261 1.021 3.276
2.261 -1.021 1.092
2.261 7.559 3.276
2.261 -7.559 1.092
```

Results
Total magnetic moment = 0.000 μB/atom
Energy relative to the elements = -451 kJ/mol of formula units
Space group = No. 63
Calculated volume = 30.1 Å³/atom